# 1
Tb2PrY2Er2: optimized geometry, PBE.

Cell: 11.205 3.437 12.491 Å, 90.00 103.99 90.00°
Space group C2/m (No. 12)
Unique sites:
Tb  0.156  0.000  0.071 x4
Pr  0.000  0.000  0.500 x2
Y  0.231  0.000  0.358 x4
Er  0.082  0.000  0.787 x4

Calculated values
Its formation energy from the elements is 1.50 eV per formula unit. Its total energy is -4.942 eV per atom.



# 2
TbPr2Y6Er3: optimized geometry, PBE.

Cell: 6.204 10.737 11.843 Å, 90.00 100.02 90.00°
Space group C2/m (No. 12)
Unique sites:
Tb  0.000  0.000  0.000 x2
Pr  0.000  0.333  0.000 x4
Y  0.248  0.000  0.746 x4
Y  0.249  0.334  0.746 x8
Er  0.000  0.166  0.500 x4
Er  0.000  0.500  0.500 x2

Calculated values
Its formation energy from the elements is 0.26 eV per formula unit. Its total energy is -5.534 eV per atom.



# 3
TbPrY2Er2: optimized geometry, PBE.

Cell: 6.524 17.907 3.415 Å, 90.00 90.00 90.00°
Space group Pnnm (No. 58)
Unique sites:
Tb  0.000  0.000  0.000 x2
Pr  0.000  0.500  0.000 x2
Y  0.220  0.312  0.000 x4
Er  0.217  0.147  0.500 x4

Calculated values
Its formation energy from the elements is 1.62 eV per formula unit. Its total energy is -4.974 eV per atom.



# 4
TbPrYEr: optimized geometry, PBE.

Cell: 8.091 8.091 8.091 Å, 90.00 90.00 90.00°
Space group F-43m (No. 216)
Unique sites:
Tb  0.000  0.000  0.000 x4
Pr  0.250  0.250  0.250 x4
Y  0.250  0.250  0.750 x4
Er  0.000  0.000  0.500 x4

Calculated values
Its formation energy from the elements is 0.52 eV per formula unit. Its total energy is -4.980 eV per atom.



# 5
Tb6Pr3Y2Er: optimized geometry, PBE.

Cell: 6.239 10.804 11.915 Å, 90.00 100.03 90.00°
Space group C2/m (No. 12)
Unique sites:
Tb  0.248  0.166  0.246 x8
Tb  0.250  0.000  0.754 x4
Pr  0.000  0.167  0.500 x4
Pr  0.000  0.500  0.500 x2
Y  0.000  0.333  0.000 x4
Er  0.000  0.000  0.000 x2

Calculated values
Its formation energy from the elements is 0.23 eV per formula unit. Its total energy is -4.949 eV per atom.



# 6
Tb2Pr2YEr2: optimized geometry, PBE.

Cell: 11.777 3.534 11.895 Å, 90.00 109.28 90.00°
Space group C2/m (No. 12)
Unique sites:
Tb  0.050  0.000  0.269 x4
Pr  0.171  0.000  0.585 x4
Y  0.000  0.500  0.000 x2
Er  0.226  0.500  0.865 x4

Calculated values
Its formation energy from the elements is 0.60 eV per formula unit. Its total energy is -4.830 eV per atom.



# 7
TbPrYEr3: optimized geometry, PBE.

Cell: 5.751 11.762 11.438 Å, 90.00 90.00 90.00°
Space group Cmcm (No. 63)
Unique sites:
Tb  0.000  0.000  0.000 x4
Pr  0.000  0.477  0.250 x4
Y  0.000  0.173  0.250 x4
Er  0.000  0.149  0.750 x4
Er  0.000  0.325  0.522 x8

Calculated values
Its formation energy from the elements is 0.72 eV per formula unit. Its total energy is -4.807 eV per atom.



# 8
Tb6Pr2YEr: optimized geometry, PBE.

Cell: 9.055 15.182 9.738 Å, 90.00 98.73 90.00°
Space group C2/c (No. 15)
Unique sites:
Tb  0.064  0.191  0.443 x8
Tb  0.104  0.395  0.619 x8
Tb  0.202  0.223  0.811 x8
Pr  0.247  0.053  0.042 x8
Y  0.000  0.018  0.750 x4
Er  0.000  0.407  0.250 x4

Calculated values
Its formation energy from the elements is 1.14 eV per formula unit. Its total energy is -4.723 eV per atom.



# 9
TbPr6Y2Er: optimized geometry, PBE.

Cell: 9.416 15.433 9.642 Å, 90.00 96.63 90.00°
Space group C2/c (No. 15)
Unique sites:
Tb  0.000  0.031  0.250 x4
Pr  0.060  0.175  0.944 x8
Pr  0.095  0.388  0.116 x8
Pr  0.216  0.221  0.310 x8
Y  0.250  0.047  0.548 x8
Er  0.000  0.412  0.750 x4

Calculated values
Its formation energy from the elements is 1.17 eV per formula unit. Its total energy is -4.963 eV per atom.



# 10
Tb2PrYEr: optimized geometry, PBE.

Cell: 8.435 11.545 7.235 Å, 90.00 90.00 90.00°
Space group Cmcm (No. 63)
Unique sites:
Tb  0.189  0.000  0.000 x8
Pr  0.000  0.228  0.250 x4
Y  0.000  0.499  0.250 x4
Er  0.000  0.222  0.750 x4

Calculated values
Its formation energy from the elements is 1.96 eV per formula unit. Its total energy is -4.621 eV per atom.



# 11
Tb6Pr2YEr3: optimized geometry, PBE.

Cell: 6.192 10.719 11.851 Å, 90.00 99.98 90.00°
Space group C2/m (No. 12)
Unique sites:
Tb  0.247  0.000  0.245 x4
Tb  0.248  0.334  0.245 x8
Pr  0.000  0.333  0.500 x4
Y  0.000  0.000  0.500 x2
Er  0.000  0.166  0.000 x4
Er  0.000  0.500  0.000 x2

Calculated values
Its formation energy from the elements is 0.22 eV per formula unit. Its total energy is -4.773 eV per atom.



# 12
Tb2Pr3Y6Er: optimized geometry, PBE.

Cell: 6.246 10.813 11.885 Å, 90.00 100.05 90.00°
Space group C2/m (No. 12)
Unique sites:
Tb  0.000  0.167  0.000 x4
Pr  0.000  0.000  0.500 x2
Pr  0.000  0.333  0.500 x4
Y  0.248  0.333  0.246 x8
Y  0.249  0.000  0.246 x4
Er  0.000  0.500  0.000 x2

Calculated values
Its formation energy from the elements is 0.22 eV per formula unit. Its total energy is -5.561 eV per atom.



# 13
Tb3Pr6YEr2: optimized geometry, PBE.

Cell: 6.313 10.935 11.898 Å, 90.00 100.17 90.00°
Space group C2/m (No. 12)
Unique sites:
Tb  0.000  0.000  0.000 x2
Tb  0.000  0.333  0.000 x4
Pr  0.249  0.000  0.749 x4
Pr  0.249  0.167  0.251 x8
Y  0.000  0.500  0.500 x2
Er  0.000  0.167  0.500 x4

Calculated values
Its formation energy from the elements is 0.13 eV per formula unit. Its total energy is -4.836 eV per atom.



# 14
Pr3ErTc: optimized geometry, PBE.

Cell: 5.539 5.539 5.539 Å, 90.00 90.00 90.00°
Space group Pm-3m (No. 221)
Unique sites:
Pr  0.000  0.000  0.500 x3
Er  0.500  0.500  0.500 x1
Tc  0.000  0.000  0.000 x1

Calculated values
Its formation energy from the elements is 1.20 eV per formula unit. Its total energy is -5.613 eV per atom.



# 15
Pr2Er8Tc: optimized geometry, PBE.

Cell: 18.144 5.432 6.718 Å, 90.00 94.65 90.00°
Space group C2/m (No. 12)
Unique sites:
Pr  0.223  0.000  0.165 x4
Er  0.030  0.000  0.269 x4
Er  0.082  0.500  0.879 x4
Er  0.141  0.500  0.387 x4
Er  0.161  0.000  0.662 x4
Tc  0.000  0.500  0.500 x2

Calculated values
Its formation energy from the elements is 0.17 eV per formula unit. Its total energy is -5.114 eV per atom.



# 16
PrEr2Tc: optimized geometry, PBE.

Cell: 7.526 9.115 6.361 Å, 90.00 90.00 90.00°
Space group Pnma (No. 62)
Unique sites:
Pr  0.042  0.250  0.124 x4
Er  0.175  0.065  0.656 x8
Tc  0.117  0.750  0.451 x4

Calculated values
Its formation energy from the elements is -0.27 eV per formula unit. Its total energy is -6.135 eV per atom.



# 17
PrEr3Tc: optimized geometry, PBE.

Cell: 5.373 5.373 5.373 Å, 90.00 90.00 90.00°
Space group Pm-3m (No. 221)
Unique sites:
Pr  0.000  0.000  0.000 x1
Er  0.000  0.500  0.500 x3
Tc  0.500  0.500  0.500 x1

Calculated values
Its formation energy from the elements is 0.48 eV per formula unit. Its total energy is -5.670 eV per atom.



# 18
PrEr2Tc: optimized geometry, PBE.

Cell: 3.4360 3.4360 32.9653 Å, 90.00 90.00 120.00°
Space group R-3m (No. 166, hexagonal axes)
Unique sites:
Pr  0.0000  0.0000  0.0000 x3
Er  0.0000  0.0000  0.1064 x6
Tc  0.0000  0.0000  0.5000 x3

Calculated values
Its formation energy from the elements is 0.90 eV per formula unit. Its total energy is -5.843 eV per atom.



# 19
PrEr2Tc: optimized geometry, PBE.

Cell: 3.441 3.441 9.145 Å, 90.00 90.00 90.00°
Space group P4/mmm (No. 123)
Unique sites:
Pr  0.000  0.000  0.000 x1
Er  0.500  0.500  0.321 x2
Tc  0.000  0.000  0.500 x1

Calculated values
Its formation energy from the elements is -0.07 eV per formula unit. Its total energy is -6.084 eV per atom.



# 20
PrEr3Tc: optimized geometry, PBE.

Cell: 8.608 3.778 8.764 Å, 90.00 101.94 90.00°
Space group P2_1/m (No. 11)
Unique sites:
Pr  0.171  0.250  0.013 x2
Er  0.026  0.750  0.662 x2
Er  0.344  0.750  0.391 x2
Er  0.422  0.750  0.815 x2
Tc  0.264  0.250  0.598 x2

Calculated values
Its formation energy from the elements is -0.39 eV per formula unit. Its total energy is -5.844 eV per atom.



Density of states at the Fermi level per entry: 1.954; 1.447; 1.661; 2.088; 1.385; 1.617; 1.927; 1.371; 1.496; 1.477; 1.294; 1.382; 1.108; 1.229; 1.413; 0.850; 1.735; 1.357; 1.770; 0.966 states/eV/atom
Magnetic moment per entry: 0.00; 0.00; 0.00; 0.00; 0.00; 0.00; 0.00; 0.00; 0.00; 0.01; 0.00; 0.00; 0.00; 0.00; 0.00; 0.00; 0.01; 0.00; 0.00; 0.00 μB/cell